# 1
Crystalline VZn2Te at its relaxed geometry, computed with GGA-PBE.

The structure in POSCAR format:
```
VZn2Te
1.0
-3.924 3.924 2.655
3.924 -3.924 2.655
3.924 3.924 -2.655
V Zn Te
2 4 2
Cartesian
0.000 0.000 0.000
0.000 3.924 1.328
1.962 1.918 -0.664
2.006 -1.962 3.319
1.962 2.006 1.991
1.918 5.887 0.664
3.924 0.000 1.328
0.000 0.000 2.655
```

## Properties
Symmetry: I-42d (122)
Calculated total energy: -3.37 eV per atom

***

# 2
Crystalline Sc2TlIr at its relaxed geometry, computed with GGA-PBE.

The structure in POSCAR format:
```
Sc2TlIr
1.0
-2.078 2.078 4.515
2.078 -2.078 4.515
2.078 2.078 -4.515
Sc Tl Ir
2 1 1
Cartesian
0.000 0.000 0.000
0.000 2.078 2.257
2.078 0.000 2.257
0.000 0.000 4.515
```

## Properties
Energy of formation: -0.38 eV/atom
Symmetry: I-4m2 (119)

***

# 3
Crystalline Na4PrNp3Se8 at its relaxed geometry, computed with GGA-PBE.

The structure in POSCAR format:
```
Na4PrNp3Se8
1.0
4.229 2.442 6.978
-4.229 2.442 6.978
0.000 -4.883 6.978
Na Pr Np Se
4 1 3 8
Cartesian
0.000 0.000 0.000
-2.115 -1.221 6.978
-2.115 1.221 13.955
0.000 2.442 6.978
0.000 0.000 10.467
-4.229 0.000 10.467
-2.115 1.221 3.489
2.115 1.221 3.489
-2.155 -1.244 12.103
0.000 0.000 5.077
0.000 -2.489 8.830
-2.155 1.244 8.830
2.155 -1.244 12.103
0.000 2.489 12.103
0.000 0.000 15.857
2.155 1.244 8.830
```

## Properties
Symmetry: R-3m (166)
Calculated total energy: -6.11 eV per atom

***

# 4
Crystalline SrVCrI2 at its relaxed geometry, computed with GGA-PBE.

The structure in POSCAR format:
```
SrVCrI2
1.0
5.549 0.000 0.000
0.000 5.549 0.000
0.000 0.000 4.476
Sr V Cr I
1 1 1 2
Cartesian
0.000 0.000 0.000
2.774 2.774 0.000
2.774 2.774 2.238
0.000 2.774 2.238
2.774 0.000 2.238
```

## Properties
Symmetry: P4/mmm (123)
Calculated total energy: -4.30 eV per atom

***

# 5
Crystalline BaTi3Cu at its relaxed geometry, computed with GGA-PBE.

The structure in POSCAR format:
```
BaTi3Cu
1.0
4.873 0.000 0.000
0.000 4.873 0.000
0.000 0.000 4.873
Ba Ti Cu
1 3 1
Cartesian
0.000 0.000 0.000
0.000 2.436 2.436
2.436 0.000 2.436
2.436 2.436 0.000
2.436 2.436 2.436
```

## Properties
Energy of formation: 0.72 eV/atom
Symmetry: Pm-3m (221)

***

# 6
Crystalline GaHgPb at its relaxed geometry, computed with GGA-PBE.

The structure in POSCAR format:
```
GaHgPb
1.0
6.657 -2.121 0.000
6.657 2.121 0.000
-0.913 0.000 5.510
Ga Hg Pb
2 2 2
Cartesian
2.693 0.000 1.852
9.709 0.000 3.658
5.117 0.000 3.968
7.284 0.000 1.541
0.860 0.000 4.426
11.541 0.000 1.083
```

## Properties
Energy of formation: 0.06 eV/atom
Symmetry: C2/m (12)

***

# 7
Crystalline Y4GaTeC at its relaxed geometry, computed with GGA-PBE.

The structure in POSCAR format:
```
Y4GaTeC
1.0
3.371 -7.732 0.000
3.371 7.732 0.000
0.000 0.000 6.776
Y Ga Te C
8 2 2 2
Cartesian
1.685 3.866 0.000
1.685 3.866 3.388
3.371 6.459 5.082
3.371 1.439 5.082
1.685 -3.866 0.000
1.685 -3.866 3.388
3.371 -1.439 1.694
3.371 -6.459 1.694
3.371 5.946 1.694
3.371 -5.946 5.082
3.371 1.664 1.694
3.371 -1.664 5.082
3.371 3.938 5.082
3.371 -3.938 1.694
```

## Properties
Symmetry: Cmcm (63)
Calculated total energy: -6.56 eV per atom

***

# 8
Crystalline BaSiSe4 at its relaxed geometry, computed with GGA-PBE.

The structure in POSCAR format:
```
BaSiSe4
1.0
8.249 -3.171 0.000
8.249 3.171 0.000
-1.758 0.000 5.921
Ba Si Se
2 2 8
Cartesian
6.930 1.649 4.440
7.809 -1.649 1.480
4.124 1.585 0.000
3.245 -1.585 2.960
2.810 0.835 2.128
6.280 1.349 1.048
1.931 -0.835 5.088
9.338 1.349 1.913
5.401 -1.349 4.008
12.808 0.835 0.833
8.459 -1.349 4.873
11.929 -0.835 3.793
```

## Properties
Symmetry: C2/c (15)
Calculated total energy: -4.31 eV per atom

***

# 9
Crystalline Mg5CdSnHg2 at its relaxed geometry, computed with GGA-PBE.

The structure in POSCAR format:
```
Mg5CdSnHg2
1.0
-3.652 3.652 8.112
3.652 -3.652 8.112
3.652 3.652 -8.112
Mg Cd Sn Hg
10 2 2 4
Cartesian
0.000 0.000 0.000
5.167 1.515 -2.214
1.515 2.137 -2.214
5.167 1.515 2.214
1.515 2.137 2.214
0.000 0.000 8.112
2.137 1.515 5.897
-1.515 2.137 5.897
2.137 1.515 10.326
-1.515 2.137 10.326
3.652 0.000 4.056
0.000 3.652 4.056
0.000 0.000 4.056
0.000 0.000 12.168
2.667 0.985 0.000
2.667 -0.985 8.112
0.985 4.637 0.000
0.985 2.667 8.112
```

## Properties
Energy of formation: -0.05 eV/atom
Symmetry: I4/mcm (140)

***

# 10
Crystalline CePrO4 at its relaxed geometry, computed with GGA-PBE.

The structure in POSCAR format:
```
CePrO4
1.0
3.918 0.000 0.000
0.000 3.918 0.000
0.000 0.000 5.678
Ce Pr O
1 1 4
Cartesian
0.000 0.000 0.000
1.959 1.959 2.839
0.000 1.959 1.345
0.000 1.959 4.333
1.959 0.000 1.345
1.959 0.000 4.333
```

## Properties
Symmetry: P4/mmm (123)
Calculated total energy: -8.09 eV per atom

***

no.,D(E_F) (states/eV/cell)
1,9.0
2,3.5
3,27.4
4,6.4
5,7.6
6,2.2
7,8.2
8,0.2
9,5.8
10,5.5